The following is a DFT calculation (PBE-GGA) of an optimized crystal structure of RbZnCl3.

```
data_RbZnCl3
_symmetry_space_group_name_H-M 'R 3 m'
_symmetry_Int_Tables_number 160
_symmetry_space_group_name_Hall 'R 3 -2"'
_cell_length_a 8.4649
_cell_length_b 8.4649
_cell_length_c 14.6873
_cell_angle_alpha 90.00
_cell_angle_beta 90.00
_cell_angle_gamma 120.00
loop_
_atom_site_label
_atom_site_type_symbol
_atom_site_fract_x
_atom_site_fract_y
_atom_site_fract_z
Rb1 Rb 0.0000 0.0000 0.0000
Zn1 Zn 0.0000 0.0000 0.7624
Cl1 Cl 0.0371 0.5186 0.4525
```

Values from the calculation:
The density of states at the Fermi level is 0.00 states/eV per cell. Its crystal system is trigonal. For the formation energy (no corrections), the calculation gives -1.37 eV per atom.